# 1
Here is a relaxed structure of Na4Tm3PaS8 from Alexandria via LeMat-Bulk. Energies are from PBE-GGA.

Cell lengths 8.1008, 8.1008, 8.1008 Å; angles 58.23, 58.23, 58.23 degrees
Fractional positions:
Na: 0.0000 0.0000 0.0000
Na: 0.0000 0.5000 0.5000
Na: 0.5000 0.0000 0.5000
Na: 0.5000 0.5000 0.0000
Tm: 0.0000 0.0000 0.5000
Tm: 0.0000 0.5000 0.0000
Tm: 0.5000 0.0000 0.0000
Pa: 0.5000 0.5000 0.5000
S: 0.2395 0.7443 0.7443
S: 0.2415 0.2415 0.2415
S: 0.2557 0.2557 0.7605
S: 0.2557 0.7605 0.2557
S: 0.7443 0.2395 0.7443
S: 0.7443 0.7443 0.2395
S: 0.7585 0.7585 0.7585
S: 0.7605 0.2557 0.2557

The size of the total moment comes out at 1.825 μB per cell. The value obtained for the uncorrected formation energy is -1.721 eV per atom. The space-group type is No. 166. Its total energy is -5.55 eV/atom.

=====

# 2
Here is a relaxed structure of K2NaAg from Alexandria via LeMat-Bulk. Energies are from PBE-GGA.

Cell lengths 7.9679, 7.9679, 7.9679 Å; angles 101.43, 101.43, 127.14 degrees
Fractional positions:
K: 0.0687 0.1250 0.4437
K: 0.3750 0.9313 0.0563
K: 0.6813 0.6250 0.5563
K: 0.8750 0.3187 0.9437
Na: 0.2500 0.7500 0.5000
Na: 0.5000 0.5000 0.0000
Ag: 0.0000 0.0000 0.0000
Ag: 0.7500 0.2500 0.5000

The size of the total moment comes out at 0.000 μB per cell. The space-group type is No. 122. The value obtained for the formation energy is 0.13 eV/atom. Its total energy is -1.46 eV/atom. The polymorph energy (0 for the lowest one) is 137.1 meV per atom.

=====

# 3
Here is a relaxed structure of Er2AsBr3 from Alexandria via LeMat-Bulk. Energies are from PBE-GGA.

Cell lengths 8.8942, 8.8942, 12.7987 Å; angles 124.22, 124.22, 27.73 degrees
Fractional positions:
Er: 0.1044 0.1044 0.4551
Er: 0.3647 0.3647 0.1754
Er: 0.6353 0.6353 0.8246
Er: 0.8956 0.8956 0.5449
As: 0.0936 0.0936 0.6659
As: 0.9064 0.9064 0.3341
Br: 0.1620 0.1620 0.0138
Br: 0.2631 0.2631 0.3980
Br: 0.4442 0.4442 0.7398
Br: 0.5558 0.5558 0.2602
Br: 0.7369 0.7369 0.6020
Br: 0.8380 0.8380 0.9862

The size of the total moment comes out at 0.000 μB per cell. The value obtained for the uncorrected formation energy is -1.579 eV per atom. The space-group type is No. 12. Its total energy is -4.71 eV/atom.

=====

# 4
Here is a relaxed structure of Nb3VPd from Alexandria via LeMat-Bulk. Energies are from PBE-GGA.

Cell lengths 4.8416, 4.8416, 4.8416 Å; angles 90.00, 90.00, 90.00 degrees
Fractional positions:
Nb: 0.0000 0.0000 0.5000
Nb: 0.0000 0.5000 0.0000
Nb: 0.5000 0.0000 0.0000
V: 0.5000 0.5000 0.5000
Pd: 0.0000 0.0000 0.0000

The size of the total moment comes out at 2.717 μB per cell. The space-group type is No. 221. The value obtained for the formation energy is 1.47 eV/atom. Its total energy is -7.43 eV/atom. The polymorph energy (0 for the lowest one) is 549.7 meV per atom.

=====

# 5
Here is a relaxed structure of IrRu3Se from Alexandria via LeMat-Bulk. Energies are from PBE-GGA.

Cell lengths 4.4485, 4.4485, 4.4485 Å; angles 90.00, 90.00, 90.00 degrees
Fractional positions:
Ir: 0.0000 0.0000 0.0000
Ru: 0.0000 0.5000 0.5000
Ru: 0.5000 0.0000 0.5000
Ru: 0.5000 0.5000 0.0000
Se: 0.5000 0.5000 0.5000

The size of the total moment comes out at 0.000 μB per cell. The value obtained for the uncorrected formation energy is 1.364 eV per atom. The space-group type is No. 221. Its total energy is -6.67 eV/atom. The polymorph energy (0 for the lowest one) is 0.0 meV per atom.

=====

# 6
Here is a relaxed structure of Sr2FeBr from Alexandria via LeMat-Bulk. Energies are from PBE-GGA.

Cell lengths 5.6938, 5.6938, 5.6938 Å; angles 60.00, 60.00, 60.00 degrees
Fractional positions:
Sr: 0.0000 0.0000 0.0000
Sr: 0.2500 0.2500 0.2500
Fe: 0.7500 0.7500 0.7500
Br: 0.5000 0.5000 0.5000

The size of the total moment comes out at 2.918 μB per cell. The value obtained for the uncorrected formation energy is 0.354 eV per atom. The space-group type is No. 216. Its total energy is -3.02 eV/atom. The polymorph energy (0 for the lowest one) is 653.7 meV per atom.

=====

Please write out number 4 again, unchanged.
Here is a relaxed structure of Nb3VPd from Alexandria via LeMat-Bulk. Energies are from PBE-GGA.

Cell lengths 4.8416, 4.8416, 4.8416 Å; angles 90.00, 90.00, 90.00 degrees
Fractional positions:
Nb: 0.0000 0.0000 0.5000
Nb: 0.0000 0.5000 0.0000
Nb: 0.5000 0.0000 0.0000
V: 0.5000 0.5000 0.5000
Pd: 0.0000 0.0000 0.0000

The size of the total moment comes out at 2.717 μB per cell. The space-group type is No. 221. The value obtained for the formation energy is 1.47 eV/atom. Its total energy is -7.43 eV/atom. The polymorph energy (0 for the lowest one) is 549.7 meV per atom.